Here is a relaxed Rb2MgAs crystal from the Alexandria database. Energies are from PBE.

Computed properties:
formation enthalpy at 0 K: 0.285 eV per atom
E_tot: -1.76 eV per atom
excess energy over the best structure of this formula in the dataset: 176 meV per atom
symmetry: I-42d, No. 122
magnetic moment: 0.00 Bohr magnetons per cell

a b c (Å): 12.616 12.616 12.616
angles (deg): 157.12 157.12 32.59
Atoms (fractional coordinates):
Rb: 0.112 0.625 0.987
Rb: 0.375 0.362 0.487
Rb: 0.638 0.125 0.013
Rb: 0.875 0.888 0.513
Mg: 0.250 0.750 0.500
Mg: 0.500 0.500 0.000
As: 0.000 0.000 0.000
As: 0.750 0.250 0.500